# InFe2Ru

Crystalline InFe2Ru at its relaxed geometry (PBE, the Alexandria database).

- total magnetic moment (μB/cell) = 23.85
- energy (eV per atom) = -7.05
- energy of formation from the pure elements (eV/atom) = 0.185

a = 6.168 Å, b = 6.168 Å, c = 6.168 Å
α = 90.00°, β = 90.00°, γ = 90.00°
Positions (direct):
In 0.000 0.000 0.000
In 0.000 0.500 0.500
In 0.500 0.000 0.500
In 0.500 0.500 0.000
Fe 0.000 0.000 0.500
Fe 0.000 0.500 0.000
Fe 0.250 0.250 0.750
Fe 0.250 0.750 0.250
Fe 0.500 0.000 0.000
Fe 0.500 0.500 0.500
Fe 0.750 0.250 0.250
Fe 0.750 0.750 0.750
Ru 0.250 0.250 0.250
Ru 0.250 0.750 0.750
Ru 0.750 0.250 0.750
Ru 0.750 0.750 0.250

# InFe2Ru

Crystalline InFe2Ru at its relaxed geometry (PBE, the Alexandria database).

- total magnetic moment (μB/cell) = 11.80
- energy (eV per atom) = -7.05
- energy of formation from the pure elements (eV/atom) = 0.187

a = 3.129 Å, b = 4.350 Å, c = 8.554 Å
α = 90.00°, β = 90.00°, γ = 90.00°
Positions (direct):
In 0.000 0.000 0.000
In 0.500 0.500 0.500
Fe 0.000 0.000 0.517
Fe 0.000 0.500 0.239
Fe 0.500 0.000 0.739
Fe 0.500 0.500 0.017
Ru 0.000 0.500 0.769
Ru 0.500 0.000 0.269

# InFeRu2

Crystalline InFeRu2 at its relaxed geometry (PBE, the Alexandria database).

- total magnetic moment (μB/cell) = 5.06
- energy (eV per atom) = -7.19
- energy of formation from the pure elements (eV/atom) = 0.245

a = 3.859 Å, b = 3.859 Å, c = 8.052 Å
α = 90.00°, β = 90.00°, γ = 90.00°
Positions (direct):
In 0.000 0.000 0.000
In 0.500 0.500 0.500
Fe 0.000 0.500 0.250
Fe 0.500 0.000 0.750
Ru 0.000 0.000 0.500
Ru 0.000 0.500 0.750
Ru 0.500 0.000 0.250
Ru 0.500 0.500 0.000

# InFe2Ru

Crystalline InFe2Ru at its relaxed geometry (PBE, the Alexandria database).

- total magnetic moment (μB/cell) = 5.76
- energy (eV per atom) = -7.09
- energy of formation from the pure elements (eV/atom) = 0.147

a = 3.106 Å, b = 3.106 Å, c = 6.066 Å
α = 90.00°, β = 90.00°, γ = 90.00°
Positions (direct):
In 0.000 0.000 0.000
Fe 0.000 0.000 0.515
Fe 0.500 0.500 0.720
Ru 0.500 0.500 0.290

# In2FeRu

Crystalline In2FeRu at its relaxed geometry (PBE, the Alexandria database).

- total magnetic moment (μB/cell) = 11.78
- energy (eV per atom) = -5.68
- energy above the most stable polymorph in this dataset (eV per atom) = 0.018
- energy of formation from the pure elements (eV/atom) = 0.119

a = 13.624 Å, b = 4.285 Å, c = 5.418 Å
α = 90.00°, β = 112.71°, γ = 90.00°
Positions (direct):
In 0.000 0.000 0.000
In 0.059 0.500 0.528
In 0.229 0.000 0.930
In 0.366 0.500 0.335
In 0.500 0.500 0.000
In 0.559 0.000 0.528
In 0.729 0.500 0.930
In 0.866 0.000 0.335
Fe 0.203 0.000 0.402
Fe 0.280 0.500 0.706
Fe 0.703 0.500 0.402
Fe 0.780 0.000 0.706
Ru 0.142 0.500 0.123
Ru 0.390 0.000 0.693
Ru 0.642 0.000 0.123
Ru 0.890 0.500 0.693

# In2FeRu

Crystalline In2FeRu at its relaxed geometry (PBE, the Alexandria database).

- total magnetic moment (μB/cell) = 5.59
- energy (eV per atom) = -5.65
- energy above the most stable polymorph in this dataset (eV per atom) = 0.055
- energy of formation from the pure elements (eV/atom) = 0.156

a = 4.502 Å, b = 5.464 Å, c = 6.655 Å
α = 75.19°, β = 70.54°, γ = 89.88°
Positions (direct):
In 0.000 0.000 0.000
In 0.141 0.606 0.715
In 0.385 0.475 0.233
In 0.775 0.176 0.459
Fe 0.573 0.307 0.853
Fe 0.763 0.683 0.468
Ru 0.370 0.960 0.266
Ru 0.579 0.816 0.839

# In2FeRu

Crystalline In2FeRu at its relaxed geometry (PBE, the Alexandria database).

- total magnetic moment (μB/cell) = 6.23
- energy (eV per atom) = -5.62
- energy above the most stable polymorph in this dataset (eV per atom) = 0.087
- energy of formation from the pure elements (eV/atom) = 0.188

a = 10.133 Å, b = 3.138 Å, c = 4.627 Å
α = 90.00°, β = 109.55°, γ = 90.00°
Positions (direct):
In 0.000 0.000 0.000
In 0.217 0.000 0.661
In 0.500 0.500 0.000
In 0.717 0.500 0.661
Fe 0.459 0.000 0.463
Fe 0.959 0.500 0.463
Ru 0.254 0.500 0.188
Ru 0.754 0.000 0.188

# InFe2Ru

Crystalline InFe2Ru at its relaxed geometry (PBE, the Alexandria database).

- total magnetic moment (μB/cell) = 24.71
- energy (eV per atom) = -6.62
- energy of formation from the pure elements (eV/atom) = 0.610

a = 7.061 Å, b = 7.061 Å, c = 5.294 Å
α = 90.00°, β = 90.00°, γ = 90.00°
Positions (direct):
In 0.000 0.000 0.000
In 0.000 0.500 0.250
In 0.500 0.000 0.750
In 0.500 0.500 0.500
Fe 0.215 0.250 0.625
Fe 0.250 0.715 0.875
Fe 0.250 0.785 0.375
Fe 0.285 0.250 0.125
Fe 0.715 0.750 0.125
Fe 0.750 0.215 0.375
Fe 0.750 0.285 0.875
Fe 0.785 0.750 0.625
Ru 0.000 0.000 0.500
Ru 0.000 0.500 0.750
Ru 0.500 0.000 0.250
Ru 0.500 0.500 0.000